! LiIn2S4 PBE optimized geometry; values from VASP
&SYSTEM
  ibrav = 0, nat = 14, ntyp = 3
/
ATOMIC_SPECIES
Li 6.94 Li.upf
In 114.82 In.upf
S 32.06 S.upf
ATOMIC_POSITIONS crystal
Li 0.500 0.000 0.000
Li 0.500 0.500 0.500
In 0.000 0.000 0.000
In 0.110 0.360 0.750
In 0.500 0.000 0.500
In 0.890 0.640 0.250
S 0.253 0.240 0.013
S 0.265 0.258 0.493
S 0.265 0.773 0.007
S 0.273 0.760 0.513
S 0.727 0.240 0.487
S 0.735 0.227 0.993
S 0.735 0.742 0.507
S 0.747 0.760 0.987
CELL_PARAMETERS angstrom
-3.564 3.968 5.495
3.564 -3.968 5.495
3.564 3.968 -5.495
! * E: -3.961 eV/atom
! * magnetic moment: 0.07 μB per formula unit